# ScReIr2

Crystalline ScReIr2 at its relaxed geometry (GGA-PBE, Alexandria).

Cell: 4.9322 4.9322 4.9310 Å, 133.30 133.30 68.21°
Element x y z (fractional)
Ir: 0.0000 0.0000 0.0000
Ir: 0.7500 0.2500 0.5000
Re: 0.5000 0.5000 0.0000
Sc: 0.2500 0.7500 0.5000

Properties
Offset from the most stable computed form: 0.1836 eV per atom
Formation energy: -272 meV per atom


# RbAc2ReO8

Crystalline RbAc2ReO8 at its relaxed geometry (GGA-PBE, Alexandria).

Cell: 4.5546 5.4511 8.1181 Å, 90.49 76.02 91.09°
Element x y z (fractional)
Rb: 0.0000 0.0000 0.5000
Ac: 0.3772 0.5011 0.8037
Ac: 0.6228 0.4989 0.1963
Re: 0.0000 0.0000 0.0000
O: 0.1708 0.7346 0.1018
O: 0.8160 0.7487 0.8893
O: 0.6732 0.9951 0.1902
O: 0.8292 0.2654 0.8982
O: 0.1840 0.2513 0.1107
O: 0.3268 0.0049 0.8098
O: 0.4733 0.6371 0.5012
O: 0.5267 0.3629 0.4988

Properties
E: -7.34 eV/atom


# ZrSnTe3

Crystalline ZrSnTe3 at its relaxed geometry (GGA-PBE, Alexandria).

Cell: 5.5765 5.5765 5.5765 Å, 90.00 90.00 90.00°
Element x y z (fractional)
Te: 0.0000 0.5000 0.0000
Te: 0.0000 0.0000 0.5000
Te: 0.5000 0.0000 0.0000
Sn: 0.0000 0.0000 0.0000
Zr: 0.5000 0.5000 0.5000

Properties
Offset from the most stable computed form: 1.1294 eV per atom


# MnCd2Br

Crystalline MnCd2Br at its relaxed geometry (GGA-PBE, Alexandria).

Cell: 3.3716 3.3716 7.8634 Å, 90.00 90.00 90.00°
Element x y z (fractional)
Br: 0.5000 0.5000 0.7500
Cd: 0.0000 0.0000 0.0316
Cd: 0.0000 0.0000 0.4684
Mn: 0.5000 0.5000 0.2500

Properties
Offset from the most stable computed form: 0.1068 eV per atom


# NaCd2Ga3

Crystalline NaCd2Ga3 at its relaxed geometry (GGA-PBE, Alexandria).

Cell: 4.5703 9.3741 7.0072 Å, 113.59 90.00 104.11°
Element x y z (fractional)
Na: 0.8852 0.7705 0.9255
Na: 0.1148 0.2295 0.0745
Cd: 0.4781 0.9562 0.7694
Cd: 0.5219 0.0438 0.2306
Cd: 0.7560 0.5121 0.1621
Cd: 0.2440 0.4879 0.8379
Ga: 0.2980 0.5959 0.5141
Ga: 0.9230 0.8460 0.4885
Ga: 0.6312 0.2624 0.7558
Ga: 0.3688 0.7376 0.2442
Ga: 0.0770 0.1540 0.5115
Ga: 0.7020 0.4041 0.4859

Properties
Formation energy: -44 meV per atom


# KSn4Br8

Crystalline KSn4Br8 at its relaxed geometry (GGA-PBE, Alexandria).

Cell: 9.2028 9.2028 9.2028 Å, 60.00 60.00 60.00°
Element x y z (fractional)
K: 0.7500 0.7500 0.7500
Sn: 0.8849 0.3717 0.3717
Sn: 0.3717 0.8849 0.3717
Sn: 0.3717 0.3717 0.8849
Sn: 0.3717 0.3717 0.3717
Br: 0.5824 0.1392 0.1392
Br: 0.1392 0.5824 0.1392
Br: 0.1392 0.1392 0.5824
Br: 0.1392 0.1392 0.1392
Br: 0.1729 0.6090 0.6090
Br: 0.6090 0.1729 0.6090
Br: 0.6090 0.6090 0.1729
Br: 0.6090 0.6090 0.6090

Properties
Offset from the most stable computed form: 0.0076 eV per atom


# Tl2InSb2

Crystalline Tl2InSb2 at its relaxed geometry (GGA-PBE, Alexandria).

Cell: 7.8606 7.8606 5.3155 Å, 90.00 90.00 90.00°
Element x y z (fractional)
Sb: 0.3694 0.8694 0.0000
Sb: 0.8694 0.6306 0.0000
Sb: 0.6306 0.1306 0.0000
Sb: 0.1306 0.3694 0.0000
Tl: 0.1745 0.6745 0.5000
Tl: 0.6745 0.8255 0.5000
Tl: 0.8255 0.3255 0.5000
Tl: 0.3255 0.1745 0.5000
In: 0.0000 0.0000 0.0000
In: 0.5000 0.5000 0.0000

Properties
Offset from the most stable computed form: 0.0000 eV per atom


# SmMn3Si2

Crystalline SmMn3Si2 at its relaxed geometry (GGA-PBE, Alexandria).

Cell: 3.9045 7.5164 7.1990 Å, 114.05 90.00 105.05°
Element x y z (fractional)
Sm: 0.8536 0.7071 0.9375
Sm: 0.1464 0.2928 0.0625
Mn: 0.3096 0.6192 0.5323
Mn: 0.9592 0.9183 0.6108
Mn: 0.5824 0.1647 0.6285
Mn: 0.4176 0.8353 0.3715
Mn: 0.0408 0.0817 0.3892
Mn: 0.6904 0.3808 0.4677
Si: 0.4785 0.9571 0.8117
Si: 0.5215 0.0429 0.1883
Si: 0.8074 0.6148 0.3099
Si: 0.1926 0.3852 0.6901

Properties
E: -7.62 eV/atom


# La4IrAu

Crystalline La4IrAu at its relaxed geometry (GGA-PBE, Alexandria).

Cell: 7.1738 7.4884 8.8745 Å, 109.99 108.70 101.42°
Element x y z (fractional)
La: 0.2904 0.9460 0.5704
La: 0.0337 0.7911 0.0717
La: 0.2200 0.3756 0.4296
La: 0.4620 0.7194 0.9283
La: 0.7096 0.0540 0.4296
La: 0.7800 0.6244 0.5704
La: 0.9663 0.2089 0.9283
La: 0.5380 0.2806 0.0717
Ir: 0.8336 0.0836 0.1671
Ir: 0.1664 0.9164 0.8329
Au: 0.3718 0.6218 0.2436
Au: 0.6282 0.3782 0.7564

Properties
Offset from the most stable computed form: 0.0431 eV per atom
Formation energy: -536 meV per atom


# Ce2ScH

Crystalline Ce2ScH at its relaxed geometry (GGA-PBE, Alexandria).

Cell: 3.1750 3.1750 8.1634 Å, 90.00 90.00 90.00°
Element x y z (fractional)
Sc: 0.5000 0.5000 0.5000
H: 0.5000 0.5000 0.0000
Ce: 0.0000 0.0000 0.8283
Ce: 0.0000 0.0000 0.1717

Properties
Offset from the most stable computed form: 0.1276 eV per atom


# Al2ZnOs2

Crystalline Al2ZnOs2 at its relaxed geometry (GGA-PBE, Alexandria).

Cell: 6.7867 6.7867 6.7867 Å, 149.91 149.91 43.07°
Element x y z (fractional)
Al: 0.2500 0.7500 0.5000
Al: 0.7500 0.2500 0.5000
Zn: 0.0000 0.0000 0.0000
Os: 0.6043 0.6043 0.0000
Os: 0.3957 0.3957 0.0000

Properties
Offset from the most stable computed form: 0.3895 eV per atom
Formation energy: 252 meV per atom


# K2HgS6

Crystalline K2HgS6 at its relaxed geometry (GGA-PBE, Alexandria).

Cell: 3.4203 9.1735 9.1754 Å, 120.06 90.00 90.00°
Element x y z (fractional)
K: 0.5000 0.3335 0.6666
K: 0.5000 0.6665 0.3334
Hg: 0.0000 0.0000 0.0000
S: 0.0000 0.0002 0.6080
S: 0.0000 0.6080 0.0002
S: 0.0000 0.3920 0.3920
S: 0.0000 0.3920 0.9998
S: 0.0000 0.9998 0.3920
S: 0.0000 0.6080 0.6080

Properties
E: -3.33 eV/atom